Record 1
The following is a PBE calculation of a relaxed AcSmGePb crystal, from Alexandria.

Lattice parameters (Å, degrees): 5.5574 5.5574 5.5574 60.00 60.00 60.00
With the nearest neighbours (Å) after each atom.
Positions (direct):
1 Ac 0.0000 0.0000 0.0000  4 Ge 3.40, 4 Pb 3.40
2 Sm 0.5000 0.5000 0.5000  4 Ge 3.40, 4 Pb 3.40
3 Ge 0.2500 0.2500 0.2500  4 Ac 3.40, 4 Sm 3.40
4 Pb 0.7500 0.7500 0.7500  4 Ac 3.40, 4 Sm 3.40

* symmetry: F-43m (216)
* ΔH_f (0 K): -0.421 eV per atom

---

Record 2
The following is a PBE calculation of a relaxed Ac2SnGePb crystal, from Alexandria.

Lattice parameters (Å, degrees): 4.7756 9.5776 7.0635 90.00 90.00 90.00
With the nearest neighbours (Å) after each atom.
Positions (direct):
1 Ac 0.2500 0.0316 0.2368  3 Ge 3.41-3.42, 3 Sn 3.48-3.52, 2 Pb 3.60
2 Ac 0.2500 0.4684 0.2368  3 Ge 3.41-3.42, 3 Sn 3.48-3.52, 2 Pb 3.60
3 Ac 0.7500 0.5316 0.7632  3 Ge 3.41-3.42, 3 Sn 3.48-3.52, 2 Pb 3.60
4 Ac 0.7500 0.9684 0.7632  3 Ge 3.41-3.42, 3 Sn 3.48-3.52, 2 Pb 3.60
5 Sn 0.2500 0.7500 0.5479  1 Ge 2.78
6 Sn 0.7500 0.2500 0.4521  1 Ge 2.78
7 Ge 0.2500 0.7500 0.9420  1 Sn 2.78
8 Ge 0.7500 0.2500 0.0580  1 Sn 2.78
9 Pb 0.2500 0.2500 0.7691  2 Ge 3.14, 2 Sn 3.27
10 Pb 0.7500 0.7500 0.2309  2 Ge 3.14, 2 Sn 3.27

* symmetry: Pmmn (59)
* ΔH_f (0 K): -0.641 eV per atom

---

Record 3
The following is a PBE calculation of a relaxed AcSnGePb crystal, from Alexandria.

Lattice parameters (Å, degrees): 5.5501 5.5501 5.5501 60.00 60.00 60.00
With the nearest neighbours (Å) after each atom.
Positions (direct):
1 Ac 0.0000 0.0000 0.0000  4 Ge 3.40, 4 Sn 3.40
2 Sn 0.2500 0.2500 0.2500  4 Ac 3.40, 4 Pb 3.40
3 Ge 0.7500 0.7500 0.7500  4 Ac 3.40, 4 Pb 3.40
4 Pb 0.5000 0.5000 0.5000  4 Ge 3.40, 4 Sn 3.40

* symmetry: F-43m (216)
* ΔH_f (0 K): -0.200 eV per atom

---

Record 4
The following is a PBE calculation of a relaxed AcTbGePb crystal, from Alexandria.

Lattice parameters (Å, degrees): 5.5203 5.5203 5.5203 60.00 60.00 60.00
With the nearest neighbours (Å) after each atom.
Positions (direct):
1 Ac 0.0000 0.0000 0.0000  4 Ge 3.38, 4 Pb 3.38
2 Tb 0.5000 0.5000 0.5000  4 Ge 3.38, 4 Pb 3.38
3 Ge 0.7500 0.7500 0.7500  4 Tb 3.38, 4 Ac 3.38
4 Pb 0.2500 0.2500 0.2500  4 Tb 3.38, 4 Ac 3.38

* symmetry: F-43m (216)
* ΔH_f (0 K): -0.407 eV per atom